Record 1
Density functional theory data (meta-GGA SCAN) for HfSi3Ni at its PBEsol-relaxed geometry.

Summary:
Formation energy (no corrections)   1.41 eV per atom
Total energy   -101.86 eV for the cell shown

Lattice parameters (Å, degrees): 4.9058 4.9058 4.9058 90.00 90.00 90.00
Element x y z (fractional)
Hf: 0.0000 0.0000 0.0000
Si: 0.0000 0.0000 0.5000
Si: 0.0000 0.5000 0.0000
Si: 0.5000 0.0000 0.0000
Ni: 0.5000 0.5000 0.5000


Record 2
Density functional theory data (meta-GGA SCAN) for HfSi2Ni2 at its PBEsol-relaxed geometry.

Summary:
Formation energy (no corrections)   -0.78 eV per atom
Total energy   -118.93 eV for the cell shown

Lattice parameters (Å, degrees): 5.4672 5.4672 5.4672 140.33 140.33 57.36
Element x y z (fractional)
Hf: 0.0000 0.0000 0.0000
Si: 0.3807 0.3807 0.0000
Si: 0.6193 0.6193 0.0000
Ni: 0.2500 0.7500 0.5000
Ni: 0.7500 0.2500 0.5000


Record 3
Density functional theory data (meta-GGA SCAN) for HfSiNi at its PBEsol-relaxed geometry.

Summary:
Formation energy (no corrections)   -0.91 eV per atom
Total energy   -366.39 eV for the cell shown

Lattice parameters (Å, degrees): 6.3563 3.7535 7.1471 90.00 90.00 90.00
Element x y z (fractional)
Hf: 0.0171 0.2500 0.1851
Hf: 0.4829 0.7500 0.6851
Hf: 0.5171 0.2500 0.3149
Hf: 0.9829 0.7500 0.8149
Si: 0.2276 0.7500 0.3850
Si: 0.2724 0.2500 0.8850
Si: 0.7276 0.7500 0.1150
Si: 0.7724 0.2500 0.6150
Ni: 0.1407 0.2500 0.5616
Ni: 0.3593 0.7500 0.0616
Ni: 0.6407 0.2500 0.9384
Ni: 0.8593 0.7500 0.4384


Record 4
Density functional theory data (meta-GGA SCAN) for HfNi3Sn at its PBEsol-relaxed geometry.

Summary:
Total energy   -141.88 eV for the cell shown
Calculated formation energy   101.05 kJ per mole of atoms

Lattice parameters (Å, degrees): 4.5414 4.5414 4.5414 90.00 90.00 90.00
Element x y z (fractional)
Hf: 0.0000 0.0000 0.0000
Ni: 0.0000 0.0000 0.5000
Ni: 0.0000 0.5000 0.0000
Ni: 0.5000 0.0000 0.0000
Sn: 0.5000 0.5000 0.5000


Record 5
Density functional theory data (meta-GGA SCAN) for HfNiSn3 at its PBEsol-relaxed geometry.

Summary:
Total energy   -184.22 eV for the cell shown
Calculated formation energy   46.19 kJ per mole of atoms

Lattice parameters (Å, degrees): 4.8514 4.8514 4.8514 90.00 90.00 90.00
Element x y z (fractional)
Hf: 0.0000 0.0000 0.0000
Ni: 0.5000 0.5000 0.5000
Sn: 0.0000 0.5000 0.5000
Sn: 0.5000 0.0000 0.5000
Sn: 0.5000 0.5000 0.0000


Record 6
Density functional theory data (meta-GGA SCAN) for HfTi2Ni2 at its PBEsol-relaxed geometry.

Summary:
Total energy   -257.55 eV for the cell shown
Calculated formation energy   -32.71 kJ per mole of atoms

Lattice parameters (Å, degrees): 7.0086 7.0086 3.0073 90.00 90.00 90.00
Element x y z (fractional)
Hf: 0.0000 0.0000 0.0000
Hf: 0.5000 0.5000 0.0000
Ti: 0.1648 0.3352 0.5000
Ti: 0.3352 0.8352 0.5000
Ti: 0.6648 0.1648 0.5000
Ti: 0.8352 0.6648 0.5000
Ni: 0.1258 0.6258 0.0000
Ni: 0.3742 0.1258 0.0000
Ni: 0.6258 0.8742 0.0000
Ni: 0.8742 0.3742 0.0000


Record 7
Density functional theory data (meta-GGA SCAN) for Hf2TiNiW at its PBEsol-relaxed geometry.

Summary:
Total energy   -221.11 eV for the cell shown
Calculated formation energy   118.29 kJ per mole of atoms

Lattice parameters (Å, degrees): 4.9936 4.9936 4.5555 90.00 90.00 90.00
Element x y z (fractional)
Hf: 0.0000 0.5000 0.0000
Hf: 0.5000 0.0000 0.0000
Ti: 0.0000 0.0000 0.5000
Ni: 0.5000 0.5000 0.5000
W: 0.0000 0.0000 0.0000


Record 8
Density functional theory data (meta-GGA SCAN) for Hf2TlNi at its PBEsol-relaxed geometry.

Summary:
Total energy   -213.94 eV for the cell shown
Calculated formation energy   -1.52 kJ per mole of atoms

Lattice parameters (Å, degrees): 4.7182 4.7182 4.7182 60.00 60.00 60.00
Element x y z (fractional)
Hf: 0.2500 0.2500 0.2500
Hf: 0.7500 0.7500 0.7500
Tl: 0.0000 0.0000 0.0000
Ni: 0.5000 0.5000 0.5000


| no. | magnetic moment (μB per formula unit) | DOS(E_F) (states/eV/cell) |
| --- | --- | --- |
| 1 | 1.21 | 6.7 |
| 2 | 0.00 | 2.6 |
| 3 | 0.00 | 1.3 |
| 4 | 0.00 | 3.1 |
| 5 | 0.00 | 5.2 |
| 6 | 0.00 | 9.9 |
| 7 | 0.00 | 7.1 |
| 8 | 1.01 | 2.1 |